# 1
Cs4Ho3PuSe8 | PBE | relaxed

Cell: 8.5290 9.7130 8.5291 Å, 116.06 120.00 90.00°
Last column: nearest neighbours and their distance in Å.
Atoms (fractional coordinates):
Cs (0.5000, 0.0000, 0.0000)  6 Se 3.60
Cs (0.5000, 0.0000, 0.5000)  6 Se 3.61-3.62
Cs (0.0000, 0.0000, 0.0000)  6 Se 3.61-3.62
Cs (0.0000, 0.0000, 0.5000)  6 Se 3.61-3.62
Ho (0.5000, 0.5000, 0.0000)  6 Se 2.90-2.91
Ho (0.5000, 0.5000, 0.5000)  6 Se 2.90-2.91
Ho (0.0000, 0.5000, 0.5000)  6 Se 2.90-2.91
Pu (0.0000, 0.5000, 0.0000)  6 Se 2.92
Se (0.2292, 0.6845, 0.9554)  2 Ho 2.90, 1 Pu 2.92
Se (0.2291, 0.6845, 0.4583)  2 Ho 2.90, 1 Pu 2.92
Se (0.2717, 0.3153, 0.5434)  3 Ho 2.91
Se (0.7263, 0.6845, 0.9554)  2 Ho 2.90, 1 Pu 2.92
Se (0.2737, 0.3155, 0.0446)  2 Ho 2.90, 1 Pu 2.92
Se (0.7283, 0.6847, 0.4566)  3 Ho 2.91
Se (0.7709, 0.3155, 0.5417)  2 Ho 2.90, 1 Pu 2.92
Se (0.7708, 0.3155, 0.0446)  2 Ho 2.90, 1 Pu 2.92

Computed properties:
Total energy = -5.20 eV/atom
D(E_F) = 11.0 states/eV per cell
Size of the total moment = 0.1 μB per formula unit

# 2
Cs2Ho2PuSe6 | PBE | relaxed

Cell: 7.2303 7.2303 8.9320 Å, 97.92 97.92 120.01°
Last column: nearest neighbours and their distance in Å.
Atoms (fractional coordinates):
Cs (0.8316, 0.1684, 0.0000)  6 Se 3.64-3.65
Cs (0.1684, 0.8316, 0.0000)  6 Se 3.64-3.65
Ho (0.3332, 0.6668, 0.5000)  6 Se 2.88
Ho (0.6668, 0.3332, 0.5000)  6 Se 2.88
Pu (0.0000, 0.0000, 0.5000)  6 Se 2.85
Se (0.7318, 0.7318, 0.6811)  1 Pu 2.85, 2 Ho 2.88
Se (0.0617, 0.3914, 0.6814)  1 Pu 2.85, 2 Ho 2.88
Se (0.2682, 0.2682, 0.3189)  1 Pu 2.85, 2 Ho 2.88
Se (0.3914, 0.0617, 0.6814)  1 Pu 2.85, 2 Ho 2.88
Se (0.9383, 0.6086, 0.3186)  1 Pu 2.85, 2 Ho 2.88
Se (0.6086, 0.9383, 0.3186)  1 Pu 2.85, 2 Ho 2.88

Computed properties:
Total energy = -5.80 eV/atom
D(E_F) = 9.3 states/eV per cell
Size of the total moment = 4.0 μB per formula unit

# 3
Cs2HoPu2Se6 | PBE | relaxed

Cell: 7.2844 7.2844 8.8837 Å, 97.78 97.78 119.99°
Last column: nearest neighbours and their distance in Å.
Atoms (fractional coordinates):
Cs (0.8342, 0.1658, 0.0000)  6 Se 3.65-3.66
Cs (0.1658, 0.8342, 0.0000)  6 Se 3.65-3.66
Ho (0.0000, 0.0000, 0.5000)  6 Se 2.88
Pu (0.3335, 0.6665, 0.5000)  6 Se 2.87
Pu (0.6665, 0.3335, 0.5000)  6 Se 2.87
Se (0.7255, 0.7255, 0.6802)  2 Pu 2.87, 1 Ho 2.88
Se (0.0592, 0.3938, 0.6803)  2 Pu 2.87, 1 Ho 2.88
Se (0.2745, 0.2745, 0.3198)  2 Pu 2.87, 1 Ho 2.88
Se (0.3938, 0.0592, 0.6803)  2 Pu 2.87, 1 Ho 2.88
Se (0.9408, 0.6062, 0.3197)  2 Pu 2.87, 1 Ho 2.88
Se (0.6062, 0.9408, 0.3197)  2 Pu 2.87, 1 Ho 2.88

Computed properties:
Total energy = -6.60 eV/atom
D(E_F) = 19.6 states/eV per cell
Size of the total moment = 9.0 μB per formula unit

# 4
Cs3Ho2PuTe6 | PBE | relaxed

Cell: 7.9390 7.9390 9.2811 Å, 98.19 98.19 120.01°
Last column: nearest neighbours and their distance in Å.
Atoms (fractional coordinates):
Cs (0.1658, 0.8342, 0.5000)  6 Te 3.81-3.84
Cs (0.8342, 0.1658, 0.5000)  6 Te 3.81-3.84
Cs (0.5000, 0.5000, 0.5000)  6 Te 3.80-3.84
Ho (0.3333, 0.6667, 0.0000)  6 Te 3.12
Ho (0.6667, 0.3333, 0.0000)  6 Te 3.12
Pu (0.0000, 0.0000, 0.0000)  6 Te 3.17
Te (0.9370, 0.5982, 0.8112)  2 Ho 3.12, 1 Pu 3.17
Te (0.7241, 0.7241, 0.1887)  2 Ho 3.12, 1 Pu 3.17
Te (0.0630, 0.4018, 0.1888)  2 Ho 3.12, 1 Pu 3.17
Te (0.5982, 0.9370, 0.8112)  2 Ho 3.12, 1 Pu 3.17
Te (0.2759, 0.2759, 0.8113)  2 Ho 3.12, 1 Pu 3.17
Te (0.4018, 0.0630, 0.1888)  2 Ho 3.12, 1 Pu 3.17

Computed properties:
Total energy = -5.02 eV/atom
D(E_F) = 14.1 states/eV per cell
Size of the total moment = 5.0 μB per formula unit

# 5
Cs3HoPu2Te6 | PBE | relaxed

Cell: 7.9745 7.9745 9.2836 Å, 98.24 98.24 120.00°
Last column: nearest neighbours and their distance in Å.
Atoms (fractional coordinates):
Cs (0.1673, 0.8327, 0.5000)  6 Te 3.82-3.85
Cs (0.8327, 0.1673, 0.5000)  6 Te 3.82-3.85
Cs (0.5000, 0.5000, 0.5000)  6 Te 3.82-3.86
Ho (0.0000, 0.0000, 0.0000)  6 Te 3.12
Pu (0.3333, 0.6667, 0.0000)  6 Te 3.16
Pu (0.6667, 0.3333, 0.0000)  6 Te 3.16
Te (0.9369, 0.6077, 0.8109)  1 Ho 3.12, 2 Pu 3.16
Te (0.7338, 0.7338, 0.1893)  1 Ho 3.12, 2 Pu 3.16
Te (0.0631, 0.3923, 0.1891)  1 Ho 3.12, 2 Pu 3.16
Te (0.6077, 0.9369, 0.8109)  1 Ho 3.12, 2 Pu 3.16
Te (0.2662, 0.2662, 0.8107)  1 Ho 3.12, 2 Pu 3.16
Te (0.3923, 0.0631, 0.1891)  1 Ho 3.12, 2 Pu 3.16

Computed properties:
Total energy = -5.74 eV/atom
D(E_F) = 27.0 states/eV per cell
Size of the total moment = 10.0 μB per formula unit

# 6
Cs4Ho3PuTe8 | PBE | relaxed

Cell: 9.1398 10.3521 9.1406 Å, 116.21 120.00 90.00°
Last column: nearest neighbours and their distance in Å.
Atoms (fractional coordinates):
Cs (0.5000, 0.0000, 0.0000)  6 Te 3.80
Cs (0.5000, 0.0000, 0.5000)  6 Te 3.83-3.84
Cs (0.0000, 0.0000, 0.0000)  6 Te 3.83-3.84
Cs (0.0000, 0.0000, 0.5000)  6 Te 3.83-3.84
Ho (0.5000, 0.5000, 0.0000)  6 Te 3.11-3.13
Ho (0.5000, 0.5000, 0.5000)  6 Te 3.11-3.13
Ho (0.0000, 0.5000, 0.5000)  6 Te 3.11-3.13
Pu (0.0000, 0.5000, 0.0000)  6 Te 3.16
Te (0.2323, 0.6890, 0.9567)  2 Ho 3.11, 1 Pu 3.16
Te (0.2323, 0.6890, 0.4646)  2 Ho 3.11, 1 Pu 3.16
Te (0.2704, 0.3114, 0.5409)  3 Ho 3.13
Te (0.7244, 0.6890, 0.9567)  2 Ho 3.11, 1 Pu 3.16
Te (0.2756, 0.3110, 0.0433)  2 Ho 3.11, 1 Pu 3.16
Te (0.7296, 0.6886, 0.4591)  3 Ho 3.13
Te (0.7677, 0.3110, 0.5354)  2 Ho 3.11, 1 Pu 3.16
Te (0.7677, 0.3110, 0.0433)  2 Ho 3.11, 1 Pu 3.16

Computed properties:
Total energy = -4.84 eV/atom
D(E_F) = 13.6 states/eV per cell
Size of the total moment = 5.0 μB per formula unit

Question: Which formula does entry 3 have?
Answer: Cs2HoPu2Se6